# 1
Er11Cd9In4 | PBE-GGA | optimized geometry

Results
Magnetic moment, Bohr magnetons per cell: 0.56
Energy of formation from the pure elements, eV/atom: -0.319

Lattice parameters (Å, degrees): 13.332 13.332 3.596 90.00 90.00 105.03
Fractional coordinates of all 24 atoms:
1 Er 0.000 0.000 0.000
2 Er 0.062 0.402 0.000
3 Er 0.184 0.816 0.000
4 Er 0.226 0.226 0.000
5 Er 0.360 0.640 0.000
6 Er 0.402 0.062 0.000
7 Er 0.598 0.938 0.000
8 Er 0.640 0.360 0.000
9 Er 0.774 0.774 0.000
10 Er 0.816 0.184 0.000
11 Er 0.938 0.598 0.000
12 Cd 0.016 0.196 0.500
13 Cd 0.146 0.611 0.500
14 Cd 0.196 0.016 0.500
15 Cd 0.389 0.854 0.500
16 Cd 0.500 0.500 0.500
17 Cd 0.611 0.146 0.500
18 Cd 0.804 0.984 0.500
19 Cd 0.854 0.389 0.500
20 Cd 0.984 0.804 0.500
21 In 0.270 0.432 0.500
22 In 0.432 0.270 0.500
23 In 0.568 0.730 0.500
24 In 0.730 0.568 0.500

---

# 2
Er4CdIn | PBE-GGA | optimized geometry

Results
Magnetic moment, Bohr magnetons per cell: 0.00
Energy of formation from the pure elements, eV/atom: 0.008
Energy above the lowest structure with this stoichiometry, meV/atom: 257

Lattice parameters (Å, degrees): 5.101 5.101 7.296 90.00 90.00 90.00
Fractional coordinates of all 6 atoms:
1 Er 0.000 0.500 0.244
2 Er 0.000 0.500 0.756
3 Er 0.500 0.000 0.244
4 Er 0.500 0.000 0.756
5 Cd 0.000 0.000 0.000
6 In 0.500 0.500 0.500

---

# 3
Er2CdIn | PBE-GGA | optimized geometry

Results
Magnetic moment, Bohr magnetons per cell: 0.00
Energy of formation from the pure elements, eV/atom: -0.391

Lattice parameters (Å, degrees): 3.730 3.730 7.401 90.00 90.00 90.00
Fractional coordinates of all 4 atoms:
1 Er 0.000 0.000 0.247
2 Er 0.000 0.000 0.753
3 Cd 0.500 0.500 0.000
4 In 0.500 0.500 0.500

---

# 4
Er5Cd2In2 | PBE-GGA | optimized geometry

Results
Magnetic moment, Bohr magnetons per cell: 0.00
Energy of formation from the pure elements, eV/atom: -0.256

Lattice parameters (Å, degrees): 9.180 9.180 7.225 90.00 90.00 55.55
Fractional coordinates of all 18 atoms:
1 Er 0.000 0.000 0.000
2 Er 0.047 0.670 0.663
3 Er 0.170 0.547 0.163
4 Er 0.330 0.953 0.663
5 Er 0.453 0.830 0.163
6 Er 0.500 0.500 0.500
7 Er 0.547 0.170 0.837
8 Er 0.670 0.047 0.337
9 Er 0.830 0.453 0.837
10 Er 0.953 0.330 0.337
11 Cd 0.138 0.862 0.385
12 Cd 0.362 0.638 0.885
13 Cd 0.638 0.362 0.115
14 Cd 0.862 0.138 0.615
15 In 0.210 0.210 0.000
16 In 0.290 0.290 0.500
17 In 0.710 0.710 0.500
18 In 0.790 0.790 0.000

---

# 5
Er5Cd3In | PBE-GGA | optimized geometry

Results
Magnetic moment, Bohr magnetons per cell: 0.00
Energy of formation from the pure elements, eV/atom: -0.260

Lattice parameters (Å, degrees): 9.168 9.168 6.592 90.00 90.00 120.00
Fractional coordinates of all 18 atoms:
1 Er 0.000 0.301 0.250
2 Er 0.000 0.699 0.750
3 Er 0.301 0.000 0.250
4 Er 0.301 0.301 0.750
5 Er 0.333 0.667 0.000
6 Er 0.333 0.667 0.500
7 Er 0.667 0.333 0.000
8 Er 0.667 0.333 0.500
9 Er 0.699 0.000 0.750
10 Er 0.699 0.699 0.250
11 Cd 0.000 0.367 0.750
12 Cd 0.000 0.633 0.250
13 Cd 0.367 0.000 0.750
14 Cd 0.367 0.367 0.250
15 Cd 0.633 0.000 0.250
16 Cd 0.633 0.633 0.750
17 In 0.000 0.000 0.000
18 In 0.000 0.000 0.500

---

# 6
Er3CdIn4 | PBE-GGA | optimized geometry

Results
Magnetic moment, Bohr magnetons per cell: 0.00
Energy of formation from the pure elements, eV/atom: -0.239

Lattice parameters (Å, degrees): 8.227 8.227 8.227 156.31 105.57 79.39
Fractional coordinates of all 8 atoms:
1 Er 0.000 0.000 0.000
2 Er 0.276 0.776 0.500
3 Er 0.724 0.224 0.500
4 Cd 0.500 0.500 0.000
5 In 0.119 0.375 0.745
6 In 0.370 0.625 0.745
7 In 0.630 0.375 0.255
8 In 0.881 0.625 0.255

---

| no. | uncorrected energy (eV per atom) |
| --- | --- |
| 1 | -3.2095 |
| 2 | -3.6425 |
| 3 | -3.5860 |
| 4 | -3.6024 |
| 5 | -3.4041 |
| 6 | -3.4333 |